No. 1
The following is a PBE-GGA calculation of a relaxed structure of Ga2SnAu, from OQMD via LeMat-Bulk.

POSCAR file:
```
Ga2SnAu
1.0
0.000 3.466 3.466
3.466 0.000 3.466
3.466 3.466 0.000
Ga Au Sn
2 1 1
Direct
0.000 0.000 0.000
0.750 0.750 0.750
0.250 0.250 0.250
0.500 0.500 0.500
```

* energy: -13.32 eV for the cell shown
* crystal system: cubic


No. 2
The following is a PBE-GGA calculation of a relaxed structure of Sr3Ga2Au4, from OQMD via LeMat-Bulk.

POSCAR file:
```
Sr3Ga2Au4
1.0
-3.291 5.154 0.420
-2.814 2.954 4.575
8.826 2.149 0.124
Ga Sr Au
2 3 4
Direct
0.661 0.661 0.833
0.339 0.339 0.167
0.000 0.000 0.500
0.636 0.636 0.191
0.364 0.364 0.809
0.899 0.899 0.084
0.280 0.280 0.424
0.720 0.720 0.576
0.101 0.101 0.916
```

* energy: -30.47 eV for the cell shown
* crystal system: monoclinic


No. 3
The following is a PBE-GGA calculation of a relaxed structure of SrYGa4Au2, from OQMD via LeMat-Bulk.

POSCAR file:
```
SrYGa4Au2
1.0
-3.980 2.387 4.919
2.545 -3.515 3.765
4.581 0.605 3.413
Sr Ga Y Au
1 4 1 2
Direct
0.500 0.408 0.408
0.299 0.121 0.121
0.192 0.876 0.876
0.808 0.876 0.876
0.701 0.121 0.121
0.000 0.596 0.596
0.000 0.300 0.300
0.500 0.701 0.701
```

* energy: -31.54 eV for the cell shown
* crystal system: orthorhombic


No. 4
The following is a PBE-GGA calculation of a relaxed structure of SrZn2GaAu, from OQMD via LeMat-Bulk.

POSCAR file:
```
SrZn2GaAu
1.0
2.487 3.476 4.708
-3.622 2.383 4.651
1.013 -5.508 -3.011
Sr Ga Zn Au
1 1 2 1
Direct
0.000 0.000 0.000
0.378 0.378 0.000
0.754 0.254 0.500
0.254 0.754 0.500
0.614 0.614 0.000
```

* energy: -12.73 eV for the cell shown
* crystal system: tetragonal


No. 5
The following is a PBE-GGA calculation of a relaxed structure of Ta2GaAu2, from OQMD via LeMat-Bulk.

POSCAR file:
```
Ta2GaAu2
1.0
-1.868 1.868 6.952
1.868 -1.868 6.952
1.868 1.868 -6.952
Au Ta Ga
2 2 1
Direct
0.750 0.250 0.500
0.250 0.750 0.500
0.407 0.407 0.000
0.593 0.593 0.000
0.000 0.000 0.000
```

* distance to the lowest polymorph of the same formula: 131.3 meV/atom
* crystal system: tetragonal


No. 6
The following is a PBE-GGA calculation of a relaxed structure of Ta2GaAu, from OQMD via LeMat-Bulk.

POSCAR file:
```
Ta2GaAu
1.0
2.721 -2.118 3.111
-0.853 -4.400 1.217
2.879 -3.384 -1.354
Ta Au Ga
2 1 1
Direct
0.000 0.000 0.000
0.750 0.750 0.750
0.250 0.250 0.250
0.500 0.500 0.500
```

* energy: -28.83 eV for the cell shown
* crystal system: cubic


No. 7
The following is a PBE-GGA calculation of a relaxed structure of Ta2GaAu2, from OQMD via LeMat-Bulk.

POSCAR file:
```
Ta2GaAu2
1.0
7.292 -1.706 0.878
6.740 3.190 -1.116
-7.080 0.254 2.582
Ta Ga Au
2 1 2
Direct
0.250 0.750 0.500
0.750 0.250 0.500
0.000 0.000 0.000
0.597 0.597 0.000
0.403 0.403 0.000
```

* distance to the lowest polymorph of the same formula: 0.0 meV/atom
* crystal system: tetragonal


No. 8
The following is a PBE-GGA calculation of a relaxed structure of Tb3Ga8Au3, from OQMD via LeMat-Bulk.

POSCAR file:
```
Tb3Ga8Au3
1.0
-2.169 4.816 6.403
2.169 -4.816 6.403
2.169 4.816 -6.403
Ga Au Tb
8 3 3
Direct
0.138 0.357 0.781
0.862 0.643 0.219
0.424 0.643 0.781
0.710 0.840 0.870
0.970 0.840 0.130
0.030 0.160 0.870
0.290 0.160 0.130
0.576 0.357 0.219
0.500 0.500 0.000
0.297 0.000 0.297
0.703 0.000 0.703
0.000 0.500 0.500
0.303 0.803 0.500
0.697 0.197 0.500
```

* energy: -55.69 eV for the cell shown
* crystal system: orthorhombic